[1]
# SrLi2SiPt2, optimized geometry, DFT PBE
# Total magnetic moment in μB per formula unit: 0.0
# E_form (uncorrected) in eV/f.u.: -3.0
# Electronic total energy in eV per formula unit: -26.04
data_SrLi2SiPt2
_symmetry_space_group_name_H-M 'P 4/m m m'
_symmetry_Int_Tables_number 123
_symmetry_space_group_name_Hall '-P 4 2'
_cell_length_a 4.675
_cell_length_b 4.675
_cell_length_c 6.077
_cell_angle_alpha 90.00
_cell_angle_beta 90.00
_cell_angle_gamma 90.00
loop_
_atom_site_label
_atom_site_fract_x
_atom_site_fract_y
_atom_site_fract_z
Sr1 0.000 0.000 0.000
Li1 0.500 0.500 0.288
Si1 0.000 0.000 0.500
Pt1 0.000 0.500 0.500

[2]
# LiTbSi2Pt4, optimized geometry, DFT PBE
# Total magnetic moment in μB per formula unit: 0.0
# E_form (uncorrected) in eV/f.u.: -7.3
# Electronic total energy in eV per formula unit: -48.83
data_LiTbSi2Pt4
_symmetry_space_group_name_H-M 'R -3 m'
_symmetry_Int_Tables_number 166
_symmetry_space_group_name_Hall '-R 3 2"'
_cell_length_a 4.1590
_cell_length_b 4.1590
_cell_length_c 25.6540
_cell_angle_alpha 90.00
_cell_angle_beta 90.00
_cell_angle_gamma 120.00
loop_
_atom_site_label
_atom_site_fract_x
_atom_site_fract_y
_atom_site_fract_z
Li1 0.0000 0.0000 0.0000
Tb1 0.0000 0.0000 0.5000
Si1 0.0000 0.0000 0.2615
Pt1 0.0000 0.0000 0.0950
Pt2 0.0000 0.0000 0.3647

[3]
# LiTb3Si6Pt2, optimized geometry, DFT PBE
# Total magnetic moment in μB per formula unit: 0.0
# E_form (uncorrected) in eV/f.u.: -5.6
# Electronic total energy in eV per formula unit: -66.03
data_LiTb3Si6Pt2
_symmetry_space_group_name_H-M 'P -3 m 1'
_symmetry_Int_Tables_number 164
_symmetry_space_group_name_Hall '-P 3 2"'
_cell_length_a 5.7074
_cell_length_b 5.7074
_cell_length_c 8.0219
_cell_angle_alpha 90.00
_cell_angle_beta 90.00
_cell_angle_gamma 120.00
loop_
_atom_site_label
_atom_site_fract_x
_atom_site_fract_y
_atom_site_fract_z
Li1 0.0000 0.0000 0.0000
Tb1 0.0000 0.0000 0.5000
Tb2 0.3333 0.6667 0.1184
Si1 0.1901 0.3802 0.7842
Pt1 0.3333 0.6667 0.5334

[4]
# LiTb2Si3Pt12, optimized geometry, DFT PBE
# Total magnetic moment in μB per formula unit: 0.0
# E_form (uncorrected) in eV/f.u.: -9.7
# Electronic total energy in eV per formula unit: -109.66
data_LiTb2Si3Pt12
_symmetry_space_group_name_H-M 'R -3 m'
_symmetry_Int_Tables_number 166
_symmetry_space_group_name_Hall '-R 3 2"'
_cell_length_a 8.2554
_cell_length_b 8.2554
_cell_length_c 17.3407
_cell_angle_alpha 90.00
_cell_angle_beta 90.00
_cell_angle_gamma 120.00
loop_
_atom_site_label
_atom_site_fract_x
_atom_site_fract_y
_atom_site_fract_z
Li1 0.0000 0.0000 0.0000
Tb1 0.0000 0.0000 0.3859
Si1 0.0000 0.5000 0.5000
Pt1 0.0022 0.5011 0.3670
Pt2 0.0243 0.5122 0.8695

The lowest E_form (uncorrected) belongs to which entry? LiTb2Si3Pt12